# 1
First-principles (PBE-GGA) data for an optimized crystal structure of SrFeAg, as listed in Alexandria via LeMat-Bulk.

**Uncorrected energy**: -11.1 eV per cell
**Density of states at the Fermi level**: 2.89 states/eV/cell
**DFT formation energy**: 0.628 eV per atom

a b c (Å): 4.801 4.801 4.801
angles (deg): 60.00 60.00 60.00
Atoms (fractional coordinates):
Fe  0.250  0.250  0.250
Ag  0.500  0.500  0.500
Sr  0.000  0.000  0.000



# 2
First-principles (PBE-GGA) data for an optimized crystal structure of Fe2ReMo, as listed in Alexandria via LeMat-Bulk.

**Uncorrected energy**: -39.7 eV per cell
**Density of states at the Fermi level**: 3.50 states/eV/cell
**DFT formation energy**: 0.121 eV per atom

a b c (Å): 5.109 4.969 2.599
angles (deg): 81.23 77.76 117.30
Atoms (fractional coordinates):
Fe  0.500  0.000  0.500
Fe  0.000  0.000  0.000
Mo  0.000  0.500  0.500
Re  0.500  0.500  0.000



# 3
First-principles (PBE-GGA) data for an optimized crystal structure of TaTcMo4, as listed in Alexandria via LeMat-Bulk.

**Uncorrected energy**: -131.9 eV per cell
**E above lowest polymorph**: 0 meV/atom
**Density of states at the Fermi level**: 7.56 states/eV/cell
**DFT formation energy**: -0.069 eV per atom

a b c (Å): 4.482 4.482 10.061
angles (deg): 102.79 102.79 90.07
Atoms (fractional coordinates):
Mo  0.413  0.913  0.327
Mo  0.587  0.087  0.673
Mo  0.167  0.167  0.834
Mo  0.087  0.587  0.673
Mo  0.913  0.413  0.327
Mo  0.333  0.333  0.166
Mo  0.667  0.667  0.834
Mo  0.833  0.833  0.166
Ta  0.500  0.500  0.500
Ta  0.000  0.000  0.500
Tc  0.750  0.250  0.000
Tc  0.250  0.750  0.000



# 4
First-principles (PBE-GGA) data for an optimized crystal structure of HgMo3H, as listed in Alexandria via LeMat-Bulk.

**Uncorrected energy**: -34.6 eV per cell
**E above lowest polymorph**: 0 meV/atom
**Density of states at the Fermi level**: 3.39 states/eV/cell

a b c (Å): 4.090 4.090 4.090
angles (deg): 90.00 90.00 90.00
Atoms (fractional coordinates):
Mo  0.000  0.500  0.000
Mo  0.500  0.000  0.000
Mo  0.000  0.000  0.500
H  0.000  0.000  0.000
Hg  0.500  0.500  0.500